Compound: Sc2SiAu
Source: the Alexandria database
Functional: PBE
Structure: relaxed

Properties
space group: R-3m
formation energy from raw total energies: -38 meV/atom

```
Sc2SiAu
1.0
1.616 0.933 9.382
-1.616 0.933 9.382
0.000 -1.866 9.382
Sc Si Au
2 1 1
Direct
0.098 0.098 0.098 Sc
0.902 0.902 0.902 Sc
0.500 0.500 0.500 Si
0.000 0.000 0.000 Au
```

Compound: LaMo
Source: the Alexandria database
Functional: PBE
Structure: relaxed

Properties
energy above the most stable polymorph in this dataset: 186 meV/atom
space group: Pmn2_1
energy relative to the elements: 0.9 eV/f.u.

```
LaMo
1.0
13.864 0.000 0.000
0.000 3.387 0.000
0.000 0.000 6.716
La Mo
6 6
Direct
0.000 0.228 0.000 La
0.206 0.669 0.281 La
0.294 0.331 0.781 La
0.500 0.772 0.500 La
0.706 0.331 0.781 La
0.794 0.669 0.281 La
0.000 0.338 0.505 Mo
0.109 0.836 0.678 Mo
0.391 0.164 0.178 Mo
0.500 0.662 0.005 Mo
0.609 0.164 0.178 Mo
0.891 0.836 0.678 Mo
```

Compound: PaZn6Au6
Source: the Alexandria database
Functional: PBE
Structure: relaxed

Properties
space group: Immm
energy relative to the elements: -3.3 eV/f.u.

```
PaZn6Au6
1.0
-2.611 4.547 4.764
2.611 -4.547 4.764
2.611 4.547 -4.764
Pa Zn Au
1 6 6
Direct
0.000 0.000 0.000 Pa
0.000 0.000 0.500 Zn
0.000 0.500 0.000 Zn
0.247 0.500 0.747 Zn
0.500 0.000 0.000 Zn
0.500 0.500 0.500 Zn
0.753 0.500 0.253 Zn
0.172 0.672 0.500 Au
0.332 0.000 0.332 Au
0.338 0.338 0.000 Au
0.662 0.662 0.000 Au
0.668 0.000 0.668 Au
0.828 0.328 0.500 Au
```

Compound: ZrTaCr
Source: the Alexandria database
Functional: PBE
Structure: relaxed

Properties
energy above the most stable polymorph in this dataset: 194 meV/atom
space group: P3m1
energy relative to the elements: 0.7 eV/f.u.

```
ZrTaCr
1.0
4.433 0.000 0.000
-2.217 3.839 0.000
0.000 0.000 3.085
Zr Ta Cr
1 1 1
Direct
0.000 0.000 0.000 Zr
0.667 0.333 0.583 Ta
0.333 0.667 0.321 Cr
```

| no. | electronic total energy (eV/atom) |
| --- | --- |
| 1 | -5.38 |
| 2 | -7.45 |
| 3 | -3.09 |
| 4 | -9.77 |